First-principles (GGA+U) data for a relaxed structure of Sm2CoO4, as listed in the Open Quantum Materials Database.

The structure belongs to space group Fd-3m (No. 227, origin choice 2); the cell edges are 9.4872, 9.4872 and 9.4872 Å and the angles 90.00°, 90.00° and 90.00°. Symmetry generates all atoms from Sm at (0.0000, 0.0000, 0.0000), Co at (0.1250, 0.1250, 0.6250) and O at (0.0036, 0.0036, 0.2464).

The calculation puts the calculated volume at 15.2 Å³ per atom. The energy is -7.42 eV per atom.